[1]
# CeYErMg, relaxed, DFT PBE-GGA
# Crystal system ... cubic
# Space group ... No. 216
# DFT total energy ... -18.23 eV/f.u.
data_CeYErMg
_cell_length_a 7.775
_cell_length_b 7.775
_cell_length_c 7.775
_cell_angle_alpha 90.00
_cell_angle_beta 90.00
_cell_angle_gamma 90.00
_space_group_name_H-M_alt 'P 1'
_space_group_IT_number 1
loop_
_space_group_symop_operation_xyz
'x,y,z'
loop_
_atom_site_label
_atom_site_fract_x
_atom_site_fract_y
_atom_site_fract_z
Ce1 0.000 0.000 0.000
Ce2 0.000 0.500 0.500
Ce3 0.500 0.000 0.500
Ce4 0.500 0.500 0.000
Y1 0.000 0.000 0.500
Y2 0.000 0.500 0.000
Y3 0.500 0.000 0.000
Y4 0.500 0.500 0.500
Er1 0.250 0.250 0.250
Er2 0.250 0.750 0.750
Er3 0.750 0.250 0.750
Er4 0.750 0.750 0.250
Mg1 0.250 0.250 0.750
Mg2 0.250 0.750 0.250
Mg3 0.750 0.250 0.250
Mg4 0.750 0.750 0.750

[2]
# CeErMgZn, relaxed, DFT PBE-GGA
# Crystal system ... cubic
# Space group ... No. 216
# DFT total energy ... -13.74 eV/f.u.
data_CeErMgZn
_cell_length_a 7.360
_cell_length_b 7.360
_cell_length_c 7.360
_cell_angle_alpha 90.00
_cell_angle_beta 90.00
_cell_angle_gamma 90.00
_space_group_name_H-M_alt 'P 1'
_space_group_IT_number 1
loop_
_space_group_symop_operation_xyz
'x,y,z'
loop_
_atom_site_label
_atom_site_fract_x
_atom_site_fract_y
_atom_site_fract_z
Ce1 0.000 0.000 0.000
Ce2 0.000 0.500 0.500
Ce3 0.500 0.000 0.500
Ce4 0.500 0.500 0.000
Er1 0.000 0.000 0.500
Er2 0.000 0.500 0.000
Er3 0.500 0.000 0.000
Er4 0.500 0.500 0.500
Mg1 0.250 0.250 0.250
Mg2 0.250 0.750 0.750
Mg3 0.750 0.250 0.750
Mg4 0.750 0.750 0.250
Zn1 0.250 0.250 0.750
Zn2 0.250 0.750 0.250
Zn3 0.750 0.250 0.250
Zn4 0.750 0.750 0.750

[3]
# Ce3ErMn, relaxed, DFT PBE-GGA
# Crystal system ... cubic
# Space group ... No. 221
# DFT total energy ... -30.74 eV/f.u.
data_Ce3ErMn
_cell_length_a 5.151
_cell_length_b 5.151
_cell_length_c 5.151
_cell_angle_alpha 90.00
_cell_angle_beta 90.00
_cell_angle_gamma 90.00
_space_group_name_H-M_alt 'P 1'
_space_group_IT_number 1
loop_
_space_group_symop_operation_xyz
'x,y,z'
loop_
_atom_site_label
_atom_site_fract_x
_atom_site_fract_y
_atom_site_fract_z
Ce1 0.000 0.000 0.500
Ce2 0.000 0.500 0.000
Ce3 0.500 0.000 0.000
Er1 0.500 0.500 0.500
Mn1 0.000 0.000 0.000

[4]
# CeErMn2, relaxed, DFT PBE-GGA
# Crystal system ... tetragonal
# Space group ... No. 123
# DFT total energy ... -28.14 eV/f.u.
data_CeErMn2
_cell_length_a 3.460
_cell_length_b 3.460
_cell_length_c 6.785
_cell_angle_alpha 90.00
_cell_angle_beta 90.00
_cell_angle_gamma 90.00
_space_group_name_H-M_alt 'P 1'
_space_group_IT_number 1
loop_
_space_group_symop_operation_xyz
'x,y,z'
loop_
_atom_site_label
_atom_site_fract_x
_atom_site_fract_y
_atom_site_fract_z
Ce1 0.000 0.000 0.000
Er1 0.000 0.000 0.500
Mn1 0.500 0.500 0.214
Mn2 0.500 0.500 0.786

[5]
# CeErMn17, relaxed, DFT PBE-GGA
# Crystal system ... trigonal
# Space group ... No. 160
# DFT total energy ... -166.20 eV/f.u.
data_CeErMn17
_cell_length_a 6.303
_cell_length_b 6.303
_cell_length_c 6.303
_cell_angle_alpha 86.29
_cell_angle_beta 86.29
_cell_angle_gamma 86.29
_space_group_name_H-M_alt 'P 1'
_space_group_IT_number 1
loop_
_space_group_symop_operation_xyz
'x,y,z'
loop_
_atom_site_label
_atom_site_fract_x
_atom_site_fract_y
_atom_site_fract_z
Ce1 0.000 0.000 0.000
Er1 0.291 0.291 0.291
Mn1 0.002 0.002 0.524
Mn2 0.002 0.524 0.002
Mn3 0.146 0.641 0.641
Mn4 0.287 0.287 0.773
Mn5 0.287 0.773 0.287
Mn6 0.370 0.644 0.918
Mn7 0.370 0.918 0.644
Mn8 0.524 0.002 0.002
Mn9 0.545 0.545 0.545
Mn10 0.641 0.146 0.641
Mn11 0.641 0.641 0.146
Mn12 0.644 0.370 0.918
Mn13 0.644 0.918 0.370
Mn14 0.746 0.746 0.746
Mn15 0.773 0.287 0.287
Mn16 0.918 0.370 0.644
Mn17 0.918 0.644 0.370

[6]
# CeErMn2, relaxed, DFT PBE-GGA
# Crystal system ... tetragonal
# Space group ... No. 123
# DFT total energy ... -28.04 eV/f.u.
data_CeErMn2
_cell_length_a 5.000
_cell_length_b 5.000
_cell_length_c 3.358
_cell_angle_alpha 90.00
_cell_angle_beta 90.00
_cell_angle_gamma 90.00
_space_group_name_H-M_alt 'P 1'
_space_group_IT_number 1
loop_
_space_group_symop_operation_xyz
'x,y,z'
loop_
_atom_site_label
_atom_site_fract_x
_atom_site_fract_y
_atom_site_fract_z
Ce1 0.000 0.000 0.000
Er1 0.500 0.500 0.000
Mn1 0.000 0.500 0.500
Mn2 0.500 0.000 0.500

[7]
# Ce2ErMnN4, relaxed, DFT PBE-GGA
# Formation energy from raw total energies ... -25.5 kcal/mol of atoms
# Crystal system ... orthorhombic
# Space group ... No. 63
# DFT total energy ... -67.77 eV/f.u.
data_Ce2ErMnN4
_cell_length_a 5.963
_cell_length_b 5.963
_cell_length_c 11.741
_cell_angle_alpha 90.00
_cell_angle_beta 90.00
_cell_angle_gamma 147.46
_space_group_name_H-M_alt 'P 1'
_space_group_IT_number 1
loop_
_space_group_symop_operation_xyz
'x,y,z'
loop_
_atom_site_label
_atom_site_fract_x
_atom_site_fract_y
_atom_site_fract_z
Ce1 0.134 0.866 0.551
Ce2 0.134 0.866 0.949
Ce3 0.866 0.134 0.051
Ce4 0.866 0.134 0.449
Er1 0.385 0.615 0.750
Er2 0.615 0.385 0.250
Mn1 0.350 0.650 0.250
Mn2 0.650 0.350 0.750
N1 0.057 0.943 0.750
N2 0.227 0.773 0.136
N3 0.227 0.773 0.364
N4 0.500 0.500 0.000
N5 0.500 0.500 0.500
N6 0.773 0.227 0.636
N7 0.773 0.227 0.864
N8 0.943 0.057 0.250

[8]
# Ce2ErMnN5, relaxed, DFT PBE-GGA
# Formation energy from raw total energies ... -20.7 kcal/mol of atoms
# Crystal system ... tetragonal
# Space group ... No. 127
# DFT total energy ... -75.30 eV/f.u.
data_Ce2ErMnN5
_cell_length_a 6.503
_cell_length_b 6.503
_cell_length_c 5.629
_cell_angle_alpha 90.00
_cell_angle_beta 90.00
_cell_angle_gamma 90.00
_space_group_name_H-M_alt 'P 1'
_space_group_IT_number 1
loop_
_space_group_symop_operation_xyz
'x,y,z'
loop_
_atom_site_label
_atom_site_fract_x
_atom_site_fract_y
_atom_site_fract_z
Ce1 0.168 0.332 0.000
Ce2 0.332 0.832 0.000
Ce3 0.668 0.168 0.000
Ce4 0.832 0.668 0.000
Er1 0.000 0.000 0.500
Er2 0.500 0.500 0.500
Mn1 0.000 0.500 0.500
Mn2 0.500 0.000 0.500
N1 0.000 0.000 0.000
N2 0.146 0.646 0.275
N3 0.146 0.646 0.725
N4 0.354 0.146 0.275
N5 0.354 0.146 0.725
N6 0.500 0.500 0.000
N7 0.646 0.854 0.275
N8 0.646 0.854 0.725
N9 0.854 0.354 0.275
N10 0.854 0.354 0.725